# PBE Nd6CdTc2, relaxed
data_Nd6CdTc2
_space_group_name_H-M_alt 'I m m m'
_space_group_IT_number 71
_space_group_name_Hall '-I 2 2'
_cell_length_a 9.9144
_cell_length_b 10.0535
_cell_length_c 10.5509
_cell_angle_alpha 90.00
_cell_angle_beta 90.00
_cell_angle_gamma 90.00
loop_
_atom_site_label
_atom_site_type_symbol
_atom_site_fract_x
_atom_site_fract_y
_atom_site_fract_z
Nd1 Nd 0.0000 0.2148 0.2262
Nd2 Nd 0.2101 0.5000 0.1867
Nd3 Nd 0.2135 0.3097 0.5000
Cd1 Cd 0.0000 0.0000 0.0000
Cd2 Cd 0.0000 0.0000 0.5000
Tc1 Tc 0.0000 0.3809 0.0000
Tc2 Tc 0.0000 0.5000 0.3879
# N(E_F) in states/eV/cell: 37.58
# Total magnetic moment in μB/atom: 0.0000
# Final energy in eV/atom: -5.627
# Calculated volume in Å³/cell: 1052
# Energy relative to the elements in eV per atom: -0.0429
# Density in g/cm3: 7.414

---

# PBE Nd3CdTc, relaxed
data_Nd3CdTc
_space_group_name_H-M_alt 'P 1 21/c 1'
_space_group_IT_number 14
_space_group_name_Hall '-P 2ybc'
_cell_length_a 9.3891
_cell_length_b 6.5688
_cell_length_c 10.6995
_cell_angle_alpha 90.00
_cell_angle_beta 117.89
_cell_angle_gamma 90.00
loop_
_atom_site_label
_atom_site_type_symbol
_atom_site_fract_x
_atom_site_fract_y
_atom_site_fract_z
Nd1 Nd 0.1255 0.0210 0.3071
Nd2 Nd 0.2251 0.5090 0.5308
Nd3 Nd 0.3281 0.0080 0.7049
Cd1 Cd 0.4947 0.7173 0.9918
Tc1 Tc 0.0207 0.1788 0.5269
# N(E_F) in states/eV/cell: 18.39
# Total magnetic moment in μB/atom: 0.0000
# Final energy in eV/atom: -5.186
# Energy relative to the lowest polymorph listed for this composition in meV per atom: 0.0
# Calculated volume in Å³/cell: 583
# Energy relative to the elements in eV per atom: -0.0691
# Density in g/cm3: 7.324

---

# PBE Nd3CdTc, relaxed
data_Nd3CdTc
_space_group_name_H-M_alt 'P m -3 m'
_space_group_IT_number 221
_space_group_name_Hall '-P 4 2 3'
_cell_length_a 5.4319
_cell_length_b 5.4319
_cell_length_c 5.4319
_cell_angle_alpha 90.00
_cell_angle_beta 90.00
_cell_angle_gamma 90.00
loop_
_atom_site_label
_atom_site_type_symbol
_atom_site_fract_x
_atom_site_fract_y
_atom_site_fract_z
Nd1 Nd 0.0000 0.0000 0.5000
Cd1 Cd 0.5000 0.5000 0.5000
Tc1 Tc 0.0000 0.0000 0.0000
# N(E_F) in states/eV/cell: 4.59
# Total magnetic moment in μB/atom: 0.0000
# Final energy in eV/atom: -5.008
# Energy relative to the lowest polymorph listed for this composition in meV per atom: 177.7
# Calculated volume in Å³/cell: 160
# Energy relative to the elements in eV per atom: 0.1086
# Density in g/cm3: 6.663

---

# PBE NdCdTc, relaxed
data_NdCdTc
_space_group_name_H-M_alt 'C 1 2/m 1'
_space_group_IT_number 12
_space_group_name_Hall '-C 2y'
_cell_length_a 14.2468
_cell_length_b 3.9267
_cell_length_c 5.4101
_cell_angle_alpha 90.00
_cell_angle_beta 103.47
_cell_angle_gamma 90.00
loop_
_atom_site_label
_atom_site_type_symbol
_atom_site_fract_x
_atom_site_fract_y
_atom_site_fract_z
Nd1 Nd 0.1219 0.0000 0.3122
Cd1 Cd 0.0716 0.5000 0.7848
Tc1 Tc 0.2323 0.0000 0.8768
# N(E_F) in states/eV/cell: 10.04
# Total magnetic moment in μB/atom: 0.0000
# Final energy in eV/atom: -5.372
# Calculated volume in Å³/cell: 294
# Energy relative to the elements in eV per atom: -0.0219
# Density in g/cm3: 8.003

---

# PBE NdYCdTc, relaxed
data_NdYCdTc
_space_group_name_H-M_alt 'F -4 3 m'
_space_group_IT_number 216
_space_group_name_Hall 'F -4 2 3'
_cell_length_a 7.2523
_cell_length_b 7.2523
_cell_length_c 7.2523
_cell_angle_alpha 90.00
_cell_angle_beta 90.00
_cell_angle_gamma 90.00
loop_
_atom_site_label
_atom_site_type_symbol
_atom_site_fract_x
_atom_site_fract_y
_atom_site_fract_z
Nd1 Nd 0.0000 0.0000 0.0000
Y1 Y 0.0000 0.0000 0.5000
Cd1 Cd 0.2500 0.2500 0.7500
Tc1 Tc 0.2500 0.2500 0.2500
# N(E_F) in states/eV/cell: 10.10
# Total magnetic moment in μB/atom: 0.0000
# Final energy in eV/atom: -5.657
# Calculated volume in Å³/cell: 381
# Energy relative to the elements in eV per atom: -0.0285
# Density in g/cm3: 7.724

---

# PBE Nd5CdTe8, relaxed
data_Nd5CdTe8
_space_group_name_H-M_alt 'I -4'
_space_group_IT_number 82
_space_group_name_Hall 'I -4'
_cell_length_a 9.5386
_cell_length_b 9.5386
_cell_length_c 9.6478
_cell_angle_alpha 90.00
_cell_angle_beta 90.00
_cell_angle_gamma 90.00
loop_
_atom_site_label
_atom_site_type_symbol
_atom_site_fract_x
_atom_site_fract_y
_atom_site_fract_z
Nd1 Nd 0.0000 0.0000 0.0000
Nd2 Nd 0.1287 0.7517 0.3816
Cd1 Cd 0.0000 0.5000 0.7500
Te1 Te 0.0712 0.8231 0.7050
Te2 Te 0.0780 0.6789 0.0624
# N(E_F) in states/eV/cell: 9.55
# Total magnetic moment in μB/atom: 0.0000
# Final energy in eV/atom: -4.836
# Calculated volume in Å³/cell: 878
# Density in g/cm3: 7.016
# Formation energy from raw total energies in eV per atom: -1.273

---

# PBE NdCdTe2, relaxed
data_NdCdTe2
_space_group_name_H-M_alt 'R -3 m'
_space_group_IT_number 166
_space_group_name_Hall '-R 3 2"'
_cell_length_a 4.5421
_cell_length_b 4.5421
_cell_length_c 27.8500
_cell_angle_alpha 90.00
_cell_angle_beta 90.00
_cell_angle_gamma 120.00
loop_
_atom_site_label
_atom_site_type_symbol
_atom_site_fract_x
_atom_site_fract_y
_atom_site_fract_z
Nd1 Nd 0.0000 0.0000 0.0000
Cd1 Cd 0.0000 0.0000 0.5000
Te1 Te 0.0000 0.0000 0.3975
# N(E_F) in states/eV/cell: 8.16
# Total magnetic moment in μB/atom: 0.0000
# Final energy in eV/atom: -3.745
# Energy relative to the lowest polymorph listed for this composition in meV per atom: 70.7
# Calculated volume in Å³/cell: 498
# Density in g/cm3: 5.124
# Formation energy from raw total energies in eV per atom: -0.753

---

# PBE Nd6Cd5Te, relaxed
data_Nd6Cd5Te
_space_group_name_H-M_alt 'I m m m'
_space_group_IT_number 71
_space_group_name_Hall '-I 2 2'
_cell_length_a 5.5024
_cell_length_b 7.5390
_cell_length_c 16.5698
_cell_angle_alpha 90.00
_cell_angle_beta 90.00
_cell_angle_gamma 90.00
loop_
_atom_site_label
_atom_site_type_symbol
_atom_site_fract_x
_atom_site_fract_y
_atom_site_fract_z
Nd1 Nd 0.0000 0.2468 0.0000
Nd2 Nd 0.0000 0.2525 0.3349
Cd1 Cd 0.0000 0.0000 0.1786
Cd2 Cd 0.0000 0.0000 0.5000
Cd3 Cd 0.0000 0.5000 0.1658
Te1 Te 0.0000 0.5000 0.5000
# N(E_F) in states/eV/cell: 23.73
# Total magnetic moment in μB/atom: 0.0000
# Final energy in eV/atom: -3.486
# Calculated volume in Å³/cell: 687
# Density in g/cm3: 7.514
# Formation energy from raw total energies in eV per atom: -0.459

---

# PBE NdCdTe2, relaxed
data_NdCdTe2
_space_group_name_H-M_alt 'R 3 m'
_space_group_IT_number 160
_space_group_name_Hall 'R 3 -2"'
_cell_length_a 4.4329
_cell_length_b 4.4329
_cell_length_c 23.3919
_cell_angle_alpha 90.00
_cell_angle_beta 90.00
_cell_angle_gamma 120.00
loop_
_atom_site_label
_atom_site_type_symbol
_atom_site_fract_x
_atom_site_fract_y
_atom_site_fract_z
Nd1 Nd 0.0000 0.0000 0.0000
Cd1 Cd 0.0000 0.0000 0.1649
Te1 Te 0.0000 0.0000 0.4116
Te2 Te 0.0000 0.0000 0.5826
# N(E_F) in states/eV/cell: 7.24
# Total magnetic moment in μB/atom: 0.0000
# Final energy in eV/atom: -3.816
# Energy relative to the lowest polymorph listed for this composition in meV per atom: 0.0
# Calculated volume in Å³/cell: 398
# Density in g/cm3: 6.405
# Formation energy from raw total energies in eV per atom: -0.824

---

# PBE Nd4CdTe3, relaxed
data_Nd4CdTe3
_space_group_name_H-M_alt 'C m m m'
_space_group_IT_number 65
_space_group_name_Hall '-C 2 2'
_cell_length_a 9.1562
_cell_length_b 12.7152
_cell_length_c 4.4132
_cell_angle_alpha 90.00
_cell_angle_beta 90.00
_cell_angle_gamma 90.00
loop_
_atom_site_label
_atom_site_type_symbol
_atom_site_fract_x
_atom_site_fract_y
_atom_site_fract_z
Nd1 Nd 0.0000 0.2480 0.0000
Nd2 Nd 0.2479 0.0000 0.5000
Cd1 Cd 0.0000 0.0000 0.0000
Te1 Te 0.0000 0.5000 0.0000
Te2 Te 0.2500 0.2500 0.5000
# N(E_F) in states/eV/cell: 8.49
# Total magnetic moment in μB/atom: 0.0000
# Final energy in eV/atom: -4.810
# Calculated volume in Å³/cell: 514
# Density in g/cm3: 6.930
# Formation energy from raw total energies in eV per atom: -1.133